Material: KBaLaSeO6
Method: DFT, PBE-GGA
State: optimized geometry

extended XYZ file:
```
10
Lattice="0.0000 4.2065 4.2065 4.2065 0.0000 4.2065 4.2065 4.2065 0.0000" Properties=species:S:1:pos:R:3 pbc="T T T"
K 2.1033 2.1033 2.1033
Ba 6.3098 6.3098 6.3098
La 0.0000 0.0000 0.0000
Se 4.2065 4.2065 4.2065
O 4.2065 2.3591 4.2065
O 4.2065 6.0539 4.2065
O 6.0539 4.2065 4.2065
O 2.3591 4.2065 4.2065
O 4.2065 4.2065 2.3591
O 4.2065 4.2065 6.0539
```

Energy, eV per cell: -61.32
Calculated density, g cm⁻³: 5.5
Formation energy without anion corrections, meV/atom: -2014